A plane-wave DFT calculation with GGA-PBE was carried out for a geometry-optimized Mg2AlTcCl structure.

```
Mg2AlTcCl
1.0
5.285 0.000 0.000
0.000 5.285 0.000
0.000 0.000 4.703
Mg Al Tc Cl
2 1 1 1
Direct
0.000 0.500 0.000
0.500 0.000 0.000
0.000 0.000 0.500
0.000 0.000 0.000
0.500 0.500 0.500
```

Calculated values
SG: P4/mmm (123)
DFT total energy: -3.399 eV per atom
Total magnetic moment: 1.273 Bohr magnetons per cell



A plane-wave DFT calculation with GGA-PBE was carried out for a geometry-optimized Mn2AlCl structure.

```
Mn2AlCl
1.0
2.974 0.000 0.000
0.000 3.013 0.000
0.000 0.000 7.350
Mn Al Cl
2 1 1
Direct
0.000 0.000 0.224
0.000 0.000 0.776
0.500 0.500 0.000
0.500 0.000 0.500
```

Calculated values
Energy above the most stable polymorph in this dataset: 4.9 meV/atom
SG: Pmmm (47)
Total magnetic moment: 7.172 Bohr magnetons per cell



A plane-wave DFT calculation with GGA-PBE was carried out for a geometry-optimized MnAl2Cl structure.

```
MnAl2Cl
1.0
2.940 0.000 0.000
0.000 2.940 0.000
0.000 0.000 7.393
Mn Al Cl
1 2 1
Direct
0.000 0.000 0.000
0.500 0.500 0.196
0.500 0.500 0.804
0.000 0.000 0.500
```

Calculated values
Energy above the most stable polymorph in this dataset: 27.0 meV/atom
SG: P4/mmm (123)
Total magnetic moment: 1.289 Bohr magnetons per cell



A plane-wave DFT calculation with GGA-PBE was carried out for a geometry-optimized MnAl3Cl structure.

```
MnAl3Cl
1.0
4.804 0.000 0.000
0.000 4.804 0.000
0.000 0.000 4.804
Mn Al Cl
1 3 1
Direct
0.000 0.000 0.000
0.000 0.000 0.500
0.000 0.500 0.000
0.500 0.000 0.000
0.500 0.500 0.500
```

Calculated values
Energy above the most stable polymorph in this dataset: 0.0 meV/atom
SG: Pm-3m (221)
Total magnetic moment: 2.891 Bohr magnetons per cell



A plane-wave DFT calculation with GGA-PBE was carried out for a geometry-optimized Mn2AlCl structure.

```
Mn2AlCl
1.0
2.799 -3.930 0.000
2.799 3.930 0.000
0.000 0.000 2.961
Mn Al Cl
2 1 1
Direct
0.000 0.500 0.000
0.500 0.000 0.000
0.000 0.000 0.500
0.500 0.500 0.500
```

Calculated values
Energy above the most stable polymorph in this dataset: 320.3 meV/atom
SG: Cmmm (65)
Total magnetic moment: 7.668 Bohr magnetons per cell



A plane-wave DFT calculation with GGA-PBE was carried out for a geometry-optimized MnAl2Cl structure.

```
MnAl2Cl
1.0
-2.149 2.149 3.996
2.149 -2.149 3.996
2.149 2.149 -3.996
Mn Al Cl
1 2 1
Direct
0.000 0.000 0.000
0.250 0.750 0.500
0.500 0.500 0.000
0.750 0.250 0.500
```

Calculated values
Energy above the most stable polymorph in this dataset: 510.7 meV/atom
SG: I-4m2 (119)
Total magnetic moment: 4.108 Bohr magnetons per cell



A plane-wave DFT calculation with GGA-PBE was carried out for a geometry-optimized Mn2AlCl structure.

```
Mn2AlCl
1.0
0.000 2.943 2.943
2.943 0.000 2.943
2.943 2.943 0.000
Mn Al Cl
2 1 1
Direct
0.250 0.250 0.250
0.750 0.750 0.750
0.000 0.000 0.000
0.500 0.500 0.500
```

Calculated values
Energy above the most stable polymorph in this dataset: 863.7 meV/atom
SG: Fm-3m (225)
Total magnetic moment: 0.006 Bohr magnetons per cell



A plane-wave DFT calculation with GGA-PBE was carried out for a geometry-optimized Mn3AlCl structure.

```
Mn3AlCl
1.0
4.198 0.000 0.000
0.000 4.198 0.000
0.000 0.000 4.198
Mn Al Cl
3 1 1
Direct
0.000 0.000 0.500
0.000 0.500 0.000
0.500 0.000 0.000
0.500 0.500 0.500
0.000 0.000 0.000
```

Calculated values
Energy above the most stable polymorph in this dataset: 0.0 meV/atom
SG: Pm-3m (221)
Total magnetic moment: 7.073 Bohr magnetons per cell



A plane-wave DFT calculation with GGA-PBE was carried out for a geometry-optimized MnAl2Cl structure.

```
MnAl2Cl
1.0
-1.982 1.982 4.605
1.982 -1.982 4.605
1.982 1.982 -4.605
Mn Al Cl
1 2 1
Direct
0.000 0.000 0.000
0.250 0.750 0.500
0.750 0.250 0.500
0.500 0.500 0.000
```

Calculated values
Energy above the most stable polymorph in this dataset: 424.3 meV/atom
SG: I4/mmm (139)
Total magnetic moment: 3.898 Bohr magnetons per cell



A plane-wave DFT calculation with GGA-PBE was carried out for a geometry-optimized Mn2AlCl structure.

```
Mn2AlCl
1.0
-1.469 1.979 5.929
1.469 -1.979 5.929
1.469 1.979 -5.929
Mn Al Cl
2 1 1
Direct
0.000 0.000 0.000
0.802 0.302 0.500
0.359 0.859 0.500
0.622 0.622 0.000
```

Calculated values
Energy above the most stable polymorph in this dataset: 162.9 meV/atom
SG: Imm2 (44)
Total magnetic moment: 6.702 Bohr magnetons per cell



A plane-wave DFT calculation with GGA-PBE was carried out for a geometry-optimized Mn2AlCl structure.

```
Mn2AlCl
1.0
0.000 3.152 3.152
3.152 0.000 3.152
3.152 3.152 0.000
Mn Al Cl
2 1 1
Direct
0.000 0.000 0.000
0.250 0.250 0.250
0.500 0.500 0.500
0.750 0.750 0.750
```

Calculated values
Energy above the most stable polymorph in this dataset: 731.4 meV/atom
SG: F-43m (216)
Total magnetic moment: 5.996 Bohr magnetons per cell



A plane-wave DFT calculation with GGA-PBE was carried out for a geometry-optimized MnAl2Cl structure.

```
MnAl2Cl
1.0
-1.410 2.475 4.907
1.410 -2.475 4.907
1.410 2.475 -4.907
Mn Al Cl
1 2 1
Direct
0.000 0.000 0.000
0.511 0.511 0.000
0.782 0.282 0.500
0.205 0.705 0.500
```

Calculated values
Energy above the most stable polymorph in this dataset: 191.3 meV/atom
SG: Imm2 (44)
Total magnetic moment: 2.976 Bohr magnetons per cell